No. 1
Crystalline PmHoNO at its relaxed geometry. Source: OQMD via LeMat-Bulk, functional PBE-GGA.

```
8
Lattice="1.602 2.031 3.078 -1.792 -3.402 3.178 5.885 -3.688 -0.630" Properties=species:S:1:pos:R:3 pbc="T T T"
Ho 0.120 -2.806 4.416
Ho 4.899 -3.539 2.411
N 0.215 -4.385 2.782
N 3.200 -3.993 0.969
O 0.919 -1.036 2.832
O 4.107 -5.297 3.984
Pm 1.197 -2.735 1.182
Pm 2.221 -5.639 2.565
```

Summary:
Its symmetry is No. 26.


No. 2
Crystalline PrHoNO at its relaxed geometry. Source: OQMD via LeMat-Bulk, functional PBE-GGA.

```
16
Lattice="6.777 0.000 0.000 0.000 8.237 0.000 0.000 0.000 5.049" Properties=species:S:1:pos:R:3 pbc="T T T"
Ho 0.580 0.994 0.258
Ho 3.968 7.243 0.258
Ho 2.808 0.994 2.782
Ho 6.197 7.243 2.782
N 2.840 0.943 0.259
N 6.228 7.294 0.259
N 0.549 0.943 2.784
N 3.937 7.294 2.784
O 6.208 2.909 0.251
O 2.819 5.329 0.251
O 3.958 2.909 2.775
O 0.569 5.329 2.775
Pr 3.851 3.076 0.254
Pr 0.462 5.162 0.254
Pr 6.315 3.076 2.779
Pr 2.926 5.162 2.779
```

Summary:
Its symmetry is No. 29.


No. 3
Crystalline PrHoNO at its relaxed geometry. Source: OQMD via LeMat-Bulk, functional PBE-GGA.

```
8
Lattice="4.415 0.000 0.000 0.000 4.415 0.000 0.000 0.000 8.628" Properties=species:S:1:pos:R:3 pbc="T T T"
Ho 3.311 1.104 4.314
Ho 1.104 3.311 4.314
N 3.311 3.311 3.711
N 1.104 1.104 4.917
O 3.311 1.104 0.000
O 1.104 3.311 0.000
Pr 1.104 1.104 0.951
Pr 3.311 3.311 7.676
```

Summary:
Its symmetry is No. 129.


No. 4
Crystalline PrHoNO at its relaxed geometry. Source: OQMD via LeMat-Bulk, functional PBE-GGA.

```
8
Lattice="-4.916 0.784 0.583 -0.790 -1.427 -4.739 -0.567 -4.671 1.501" Properties=species:S:1:pos:R:3 pbc="T T T"
Ho -0.395 -0.714 -2.369
Ho -3.025 -4.278 1.792
N -0.678 -3.043 -1.621
N -2.742 -1.950 1.044
O 0.000 0.000 0.000
O -2.853 -0.321 -2.078
Pr -0.284 -2.336 0.750
Pr -3.137 -2.657 -1.328
```

Summary:
Its symmetry is No. 129.


No. 5
Crystalline PrHoNO at its relaxed geometry. Source: OQMD via LeMat-Bulk, functional PBE-GGA.

```
16
Lattice="-5.099 2.138 3.826 3.901 -2.731 6.725 2.301 4.562 0.518" Properties=species:S:1:pos:R:3 pbc="T T T"
Ho 0.195 0.060 1.111
Ho 0.619 -0.953 8.151
Ho -0.441 3.090 2.710
Ho -0.017 2.077 9.750
N -3.264 1.247 6.056
N 0.361 -0.575 5.997
N -0.180 2.717 4.864
N 3.445 0.895 4.805
O -1.482 0.790 2.316
O -1.009 -0.257 9.441
O 1.203 2.427 1.423
O 1.677 1.380 8.548
Pr -1.389 0.457 4.719
Pr 2.181 -1.327 4.565
Pr -1.997 3.475 6.297
Pr 1.573 1.691 6.144
```

Summary:
Its symmetry is No. 29.


No. 6
Crystalline PrHoNO at its relaxed geometry. Source: OQMD via LeMat-Bulk, functional PBE-GGA.

```
8
Lattice="4.061 0.000 0.000 0.000 4.992 0.000 0.000 0.000 7.048" Properties=species:S:1:pos:R:3 pbc="T T T"
Ho 0.000 2.189 2.367
Ho 0.000 4.685 4.681
N 0.000 4.680 2.448
N 0.000 2.185 4.600
O 2.030 2.192 1.389
O 2.030 4.688 5.659
Pr 2.030 4.685 1.159
Pr 2.030 2.189 5.889
```

Summary:
Its symmetry is No. 51.


No. 7
Crystalline PrHoNO at its relaxed geometry. Source: OQMD via LeMat-Bulk, functional PBE-GGA.

```
8
Lattice="3.163 -3.163 0.000 3.163 3.163 0.000 0.000 0.000 8.308" Properties=species:S:1:pos:R:3 pbc="T T T"
Ho 3.163 -1.581 4.154
Ho 3.163 1.581 4.154
N 4.745 0.000 3.650
N 1.582 0.000 4.658
O 3.163 -1.581 0.000
O 3.163 1.581 0.000
Pr 1.582 0.000 0.895
Pr 4.745 0.000 7.413
```

Summary:
Its symmetry is No. 129.


No. 8
Crystalline PrHoNO at its relaxed geometry. Source: OQMD via LeMat-Bulk, functional PBE-GGA.

```
8
Lattice="3.051 2.697 0.106 2.476 -2.930 3.292 3.132 -3.333 -5.321" Properties=species:S:1:pos:R:3 pbc="T T T"
Ho 4.390 -1.977 2.233
Ho 5.208 -2.700 -2.907
N 3.309 -3.799 1.422
N 3.236 -3.574 -2.204
O 3.063 -0.417 0.711
O 6.517 -4.240 -1.408
Pr 2.145 -2.413 -0.355
Pr 4.397 -4.957 -0.431
```

Summary:
Its symmetry is No. 26.


No. 9
Crystalline RbHoNO at its relaxed geometry. Source: OQMD via LeMat-Bulk, functional PBE-GGA.

```
8
Lattice="4.538 0.000 0.000 0.000 4.538 0.000 0.000 0.000 9.781" Properties=species:S:1:pos:R:3 pbc="T T T"
Ho 3.403 1.134 4.890
Ho 1.134 3.403 4.890
N 3.403 3.403 4.463
N 1.134 1.134 5.318
O 3.403 1.134 0.000
O 1.134 3.403 0.000
Rb 1.134 1.134 1.413
Rb 3.403 3.403 8.368
```

Summary:
Its symmetry is No. 129.


No. 10
Crystalline RbHoNO at its relaxed geometry. Source: OQMD via LeMat-Bulk, functional PBE-GGA.

```
8
Lattice="3.662 0.000 0.000 0.000 6.601 0.000 0.000 0.000 7.568" Properties=species:S:1:pos:R:3 pbc="T T T"
Ho 0.000 3.266 2.572
Ho 0.000 6.566 4.996
N 0.000 5.427 3.096
N 0.000 2.127 4.472
O 1.831 2.871 1.509
O 1.831 6.172 6.059
Rb 1.831 0.013 1.247
Rb 1.831 3.314 6.322
```

Summary:
Its symmetry is No. 26.


No. 11
Crystalline RbHoNO at its relaxed geometry. Source: OQMD via LeMat-Bulk, functional PBE-GGA.

```
8
Lattice="1.595 3.585 0.307 -5.389 2.189 2.436 2.443 -1.680 6.914" Properties=species:S:1:pos:R:3 pbc="T T T"
Ho 1.137 1.554 1.173
Ho 0.171 1.460 7.282
N -4.368 1.578 4.271
N -0.630 -0.235 6.007
O -0.768 2.362 1.629
O -1.487 2.099 8.437
Rb -1.759 0.487 3.452
Rb -3.629 1.015 7.002
```

Summary:
Its symmetry is No. 26.


No. 12
Crystalline RbHoNO at its relaxed geometry. Source: OQMD via LeMat-Bulk, functional PBE-GGA.

```
8
Lattice="4.029 0.000 0.000 0.000 4.029 0.000 0.000 0.000 8.847" Properties=species:S:1:pos:R:3 pbc="T T T"
Ho 1.007 1.007 1.001
Ho 3.022 3.022 7.846
N 3.022 3.022 2.476
N 1.007 1.007 6.371
O 3.022 1.007 0.000
O 1.007 3.022 0.000
Rb 3.022 1.007 4.424
Rb 1.007 3.022 4.424
```

Summary:
Its symmetry is No. 129.


What are the total moment values for these records? In order: 0.0, 0.0, 0.0, 0.0, 0.0, 0.0, 0.0, 0.1, 2.0, 2.0, 2.0, 2.0 μB/cell.
What are the energy above the lowest structure with this stoichiometry values for these records? In order: 69, 13, 365, 23, 87, 0, 363, 55, 635, 7, 0, 529 meV/atom.